VASP calculation (PBE) on KAu3F after structural relaxation.

```
KAu3F
1.0
5.8125 0.0000 0.0000
0.0000 5.8125 0.0000
0.0000 0.0000 5.8125
K Au F
1 3 1
Direct
0.0000 0.0000 0.0000 K
0.0000 0.0000 0.5000 Au
0.0000 0.5000 0.0000 Au
0.5000 0.0000 0.0000 Au
0.5000 0.5000 0.5000 F
```

## Properties
* VASP energy: -1.506 eV per atom
* E_form (uncorrected): 509 kJ/mol of formula units
* energy relative to the lowest polymorph listed for this composition: 93.14 kJ/mol of atoms